MgSc2VO6 | PBE with a Hubbard U | relaxed

Unit cell a=5.2579 b=5.2578 c=5.5688 alpha=62.26 beta=61.72 gamma=59.41
Element x y z (fractional)
Mg (0.8051, 0.8144, 0.5723)
Sc (0.5175, 0.5265, 0.4287)
Sc (0.0244, 0.0286, 0.9320)
V (0.3141, 0.3193, 0.0486)
O (0.5970, 0.2075, 0.2526)
O (0.2132, 0.9424, 0.2494)
O (0.9556, 0.5802, 0.2457)
O (0.4223, 0.7009, 0.7608)
O (0.6943, 0.1195, 0.7689)
O (0.1180, 0.4222, 0.7561)

Theoretical density (g cm⁻³): 3.9
D(E_F) (states/eV per atom): 0.000
Raw total energy (eV per atom): -8.042